Record 1
Material: Cd2PbAu
Method: DFT, PBE-GGA
State: relaxed

a = 4.948 Å, b = 4.948 Å, c = 5.950 Å
α = 77.21°, β = 77.21°, γ = 43.63°
Fractional coordinates of all 4 atoms:
Pb (0.750, 0.750, 0.750)
Au (0.250, 0.250, 0.250)
Cd (0.988, 0.988, 0.047)
Cd (0.512, 0.512, 0.453)

total energy: -2.229 eV per atom
size of the total moment: 0.000 μB/atom
space group: C2/m, No. 12

=====

Record 2
Material: LaPmPr
Method: DFT, PBE-GGA
State: relaxed

a = 3.702 Å, b = 3.702 Å, c = 9.071 Å
α = 90.00°, β = 90.00°, γ = 120.00°
Fractional coordinates of all 3 atoms:
Pr (0.000, 0.000, 0.003)
La (0.333, 0.667, 0.664)
Pm (0.667, 0.333, 0.333)

energy above the lowest structure with this stoichiometry: 0 meV/atom
size of the total moment: 0.000 μB/atom
space group: P3m1, No. 156

=====

Record 3
Material: ScTl2Ag2
Method: DFT, PBE-GGA
State: relaxed

a = 8.228 Å, b = 8.228 Å, c = 3.433 Å
α = 90.00°, β = 90.00°, γ = 90.00°
Fractional coordinates of all 10 atoms:
Sc (0.000, 0.000, 0.000)
Sc (0.500, 0.500, 0.000)
Tl (0.354, 0.854, 0.000)
Tl (0.854, 0.646, 0.000)
Tl (0.646, 0.146, 0.000)
Tl (0.146, 0.354, 0.000)
Ag (0.153, 0.653, 0.500)
Ag (0.653, 0.847, 0.500)
Ag (0.847, 0.347, 0.500)
Ag (0.347, 0.153, 0.500)

energy above the lowest structure with this stoichiometry: 45 meV/atom
size of the total moment: 0.131 μB/atom
space group: P4/mbm, No. 127